No. 1
DyPaSnO6 | the Alexandria database | PBE | relaxed; SG = P-31c, No. 163; uncorrected energy = -147.5 eV per cell; ΔE_f (raw) = -2.878 eV per atom; DOS(E_F) = 0.000 states/eV per atom
1.0
5.5501 0.0000 0.0000
-2.7751 4.8065 0.0000
0.0000 0.0000 9.6061
Dy Pa Sn O
2 2 2 12
Cartesian
0.0000 3.2044 2.4015
2.7751 1.6022 7.2046
0.0000 0.0000 0.0000
0.0000 0.0000 4.8031
0.0000 3.2044 7.2046
2.7751 1.6022 2.4015
-0.8103 1.6402 6.0462
-1.7597 3.2847 8.3629
0.8103 1.6402 8.3629
-0.9495 4.6882 6.0462
1.8256 0.1184 1.2432
1.0153 1.5218 3.5599
1.7597 3.2847 6.0462
0.9495 4.6882 8.3629
3.7245 0.1184 3.5599
1.9648 3.1663 1.2432
4.5348 1.5218 1.2432
3.5854 3.1663 3.5599

=====

No. 2
NaMg14Zn | the Alexandria database | PBE | relaxed; distance to the lowest polymorph of the same formula = 5 meV per atom; SG = P-6m2, No. 187; energy of formation from the pure elements = 0.018 eV/atom; uncorrected energy = -24.6 eV per cell; DOS(E_F) = 0.244 states/eV per atom
1.0
6.3292 0.0000 0.0000
-3.1646 5.4813 0.0000
0.0000 0.0000 10.4867
Na Mg Zn
1 14 1
Cartesian
0.0000 0.0000 0.0000
-1.5606 2.7532 0.0000
0.0000 1.8204 2.7040
0.0000 1.8204 7.7826
-1.5881 4.5711 2.7040
-1.5881 4.5711 7.7826
1.5606 2.7532 0.0000
0.0000 5.4562 0.0000
3.1646 0.0211 5.2433
1.6006 2.7301 5.2433
3.1646 1.8271 2.5555
3.1646 1.8271 7.9312
1.5881 4.5711 2.7040
1.5881 4.5711 7.7826
4.7286 2.7301 5.2433
0.0000 0.0000 5.2433